# 1
# ZrScRh2 GGA-PBE optimized geometry
# Total moment, μB per cell: 0.0
# Calculated formation energy, kJ per mole of atoms: -44
# E, eV/cell: -125.70
data_ZrScRh2
_chemical_formula_sum 'Zr4 Sc4 Rh8'
_symmetry_space_group_name_H-M 'I -4 2 d'
_symmetry_Int_Tables_number 122
_symmetry_space_group_name_Hall 'I -4 2bw'
_cell_length_a 7.063
_cell_length_b 7.063
_cell_length_c 6.003
_cell_angle_alpha 90.00
_cell_angle_beta 90.00
_cell_angle_gamma 90.00
loop_
_atom_site_label
_atom_site_type_symbol
_atom_site_fract_x
_atom_site_fract_y
_atom_site_fract_z
_atom_site_occupancy
Zr1 Zr 0.000 0.000 0.000 1
Sc1 Sc 0.000 0.000 0.500 1
Rh1 Rh 0.250 0.250 0.125 1

=====

# 2
# Ho5Er12Zr2 GGA-PBE optimized geometry
# Total moment, μB per cell: 0.0
# Calculated formation energy, kJ per mole of atoms: 17
# E, eV/cell: -182.94
data_Ho5Er12Zr2
_chemical_formula_sum 'Ho10 Er24 Zr4'
_symmetry_space_group_name_H-M 'C 1 2/m 1'
_symmetry_Int_Tables_number 12
_cell_length_a 17.938
_cell_length_b 7.320
_cell_length_c 9.400
_cell_angle_alpha 90.00
_cell_angle_beta 109.48
_cell_angle_gamma 90.00
loop_
_symmetry_equiv_pos_as_xyz
'x,y,z'
'-x,-y,-z'
'-x,y,-z'
'x,-y,z'
'x+1/2,y+1/2,z'
'-x+1/2,-y+1/2,-z'
'-x+1/2,y+1/2,-z'
'x+1/2,-y+1/2,z'
loop_
_atom_site_label
_atom_site_type_symbol
_atom_site_fract_x
_atom_site_fract_y
_atom_site_fract_z
_atom_site_occupancy
Ho1 Ho 0.000 0.000 0.000 1
Ho2 Ho 0.187 0.500 0.710 1
Ho3 Ho 0.201 0.000 0.712 1
Er1 Er 0.005 0.500 0.185 1
Er2 Er 0.018 0.000 0.691 1
Er3 Er 0.156 0.246 0.376 1
Er4 Er 0.158 0.248 0.006 1
Zr1 Zr 0.000 0.324 0.500 1